# 1
The following is a DFT calculation (PBE) of a relaxed structure of PtW2Au.

## Properties
Calculated total energy ... -68.8 eV/cell

a = 4.060 Å, b = 4.060 Å, c = 7.875 Å
α = 90.00°, β = 90.00°, γ = 90.00°
Space group I-4m2 (No. 119)
One atom of each set of equivalent atoms:
1 Pt 0.000 0.000 0.000 [2 per cell]
2 W 0.000 0.000 0.500 [2 per cell]
3 W 0.000 0.500 0.250 [2 per cell]
4 Au 0.000 0.500 0.750 [2 per cell]

# 2
The following is a DFT calculation (PBE) of a relaxed structure of Pt2WAu.

## Properties
Calculated total energy ... -106.9 eV/cell

a = 7.250 Å, b = 7.250 Å, c = 5.518 Å
α = 90.00°, β = 90.00°, γ = 90.00°
Space group I-42d (No. 122)
One atom of each set of equivalent atoms:
1 Pt 0.223 0.250 0.125 [8 per cell]
2 W 0.000 0.000 0.000 [4 per cell]
3 Au 0.000 0.000 0.500 [4 per cell]

# 3
The following is a DFT calculation (PBE) of a relaxed structure of PtW2Au.

## Properties
Calculated total energy ... -34.6 eV/cell

a = 2.752 Å, b = 4.238 Å, c = 5.542 Å
α = 90.00°, β = 90.00°, γ = 90.00°
Space group Pmmm (No. 47)
One atom of each set of equivalent atoms:
1 Pt 0.000 0.000 0.000 [1 per cell]
2 W 0.500 0.500 0.238 [2 per cell]
3 Au 0.000 0.000 0.500 [1 per cell]

# 4
The following is a DFT calculation (PBE) of a relaxed structure of Pt2WAu.

## Properties
Calculated total energy ... -28.4 eV/cell

a = 2.812 Å, b = 2.812 Å, c = 8.178 Å
α = 90.00°, β = 90.00°, γ = 90.00°
Space group P4mm (No. 99)
One atom of each set of equivalent atoms:
1 Pt 0.000 0.000 0.000 [1 per cell]
2 Pt 0.500 0.500 0.255 [1 per cell]
3 W 0.000 0.000 0.486 [1 per cell]
4 Au 0.500 0.500 0.740 [1 per cell]

# 5
The following is a DFT calculation (PBE) of a relaxed structure of Pt2WAu.

## Properties
Calculated total energy ... -56.9 eV/cell

a = 9.411 Å, b = 2.818 Å, c = 4.925 Å
α = 90.00°, β = 99.33°, γ = 90.00°
Space group Cm (No. 8)
One atom of each set of equivalent atoms:
1 Pt 0.000 0.000 0.000 [2 per cell]
2 Pt 0.248 0.000 0.727 [2 per cell]
3 W 0.006 0.500 0.513 [2 per cell]
4 Au 0.255 0.500 0.243 [2 per cell]

# 6
The following is a DFT calculation (PBE) of a relaxed structure of Pt2WAu.

## Properties
Calculated total energy ... -56.1 eV/cell

a = 5.697 Å, b = 8.123 Å, c = 2.794 Å
α = 90.00°, β = 90.00°, γ = 90.00°
Space group Cmmm (No. 65)
One atom of each set of equivalent atoms:
1 Pt 0.250 0.250 0.000 [4 per cell]
2 W 0.000 0.000 0.500 [2 per cell]
3 Au 0.000 0.500 0.500 [2 per cell]

# 7
The following is a DFT calculation (PBE) of a relaxed structure of Pt2WAu.

## Properties
Calculated total energy ... -56.2 eV/cell

a = 3.940 Å, b = 3.940 Å, c = 8.273 Å
α = 90.00°, β = 90.00°, γ = 90.00°
Space group I-4m2 (No. 119)
One atom of each set of equivalent atoms:
1 Pt 0.000 0.000 0.000 [2 per cell]
2 Pt 0.000 0.500 0.250 [2 per cell]
3 W 0.000 0.000 0.500 [2 per cell]
4 Au 0.000 0.500 0.750 [2 per cell]

# 8
The following is a DFT calculation (PBE) of a relaxed structure of Pt2WAu.

## Properties
Calculated total energy ... -56.6 eV/cell

a = 3.981 Å, b = 3.981 Å, c = 8.079 Å
α = 90.00°, β = 90.00°, γ = 90.00°
Space group I4/mmm (No. 139)
One atom of each set of equivalent atoms:
1 Pt 0.000 0.500 0.250 [4 per cell]
2 W 0.000 0.000 0.000 [2 per cell]
3 Au 0.000 0.000 0.500 [2 per cell]